No. 1
VASP calculation (PBE) on BeBTe2N after structural relaxation.

**Density of states at the Fermi level**: 0.62 states/eV/atom
**Crystal system**: tetragonal
**Raw formation energy**: 0.5092 eV/atom
**Symmetry**: P4/mmm (123)
**Energy above the lowest structure with this stoichiometry**: 0 meV per atom
**Total DFT energy (no corrections)**: -4.49 eV per atom

Unit cell a=6.315 b=6.315 c=2.700 alpha=90.00 beta=90.00 gamma=90.00
Fractional coordinates of all 5 atoms:
B 0.000 0.000 0.000
Be 0.500 0.500 0.500
N 0.000 0.000 0.500
Te 0.000 0.500 0.000
Te 0.500 0.000 0.000

***

No. 2
VASP calculation (PBE) on MoRhCl4 after structural relaxation.

**Density of states at the Fermi level**: 1.41 states/eV/atom
**Crystal system**: cubic
**Raw formation energy**: 1.3609 eV/atom
**Symmetry**: F-43m (216)
**Total DFT energy (no corrections)**: -2.90 eV per atom

Unit cell a=5.755 b=5.755 c=5.755 alpha=60.00 beta=60.00 gamma=60.00
Fractional coordinates of all 6 atoms:
Mo 0.750 0.750 0.750
Cl 0.876 0.375 0.375
Cl 0.375 0.876 0.375
Rh 0.000 0.000 0.000
Cl 0.375 0.375 0.876
Cl 0.375 0.375 0.375

***

No. 3
VASP calculation (PBE) on MgZnHgGe after structural relaxation.

**Density of states at the Fermi level**: 0.25 states/eV/atom
**Crystal system**: cubic
**Symmetry**: F-43m (216)
**Energy relative to the elements**: 14 kJ/mol of formula units
**Total DFT energy (no corrections)**: -1.91 eV per atom

Unit cell a=4.806 b=4.806 c=4.806 alpha=60.00 beta=60.00 gamma=60.00
Fractional coordinates of all 4 atoms:
Zn 0.500 0.500 0.500
Ge 0.250 0.250 0.250
Hg 0.750 0.750 0.750
Mg 0.000 0.000 0.000

***

No. 4
VASP calculation (PBE) on Zr2TlNi after structural relaxation.

**Density of states at the Fermi level**: 1.28 states/eV/atom
**Crystal system**: orthorhombic
**Symmetry**: Amm2 (38)
**Energy relative to the elements**: -33 kJ/mol of formula units
**Energy above the lowest structure with this stoichiometry**: 92 meV per atom
**Total DFT energy (no corrections)**: -6.40 eV per atom

Unit cell a=4.200 b=3.432 c=5.938 alpha=73.17 beta=90.00 gamma=90.00
Fractional coordinates of all 4 atoms:
Zr 0.000 0.944 0.986
Zr 0.500 0.283 0.308
Tl 0.500 0.559 0.757
Ni 0.000 0.713 0.448

***

No. 5
VASP calculation (PBE) on K2MnIr after structural relaxation.

**Density of states at the Fermi level**: 0.96 states/eV/atom
**Crystal system**: cubic
**Symmetry**: Fm-3m (225)
**Energy relative to the elements**: 510 kJ/mol of formula units
**Energy above the lowest structure with this stoichiometry**: 887 meV per atom
**Total DFT energy (no corrections)**: -3.74 eV per atom

Unit cell a=5.375 b=5.375 c=5.375 alpha=60.00 beta=60.00 gamma=60.00
Fractional coordinates of all 4 atoms:
Ir 0.500 0.500 0.500
K 0.250 0.250 0.250
Mn 0.000 0.000 0.000
K 0.750 0.750 0.750

***

No. 6
VASP calculation (PBE) on Fe2CoCuH after structural relaxation.

**Density of states at the Fermi level**: 0.45 states/eV/atom
**Crystal system**: tetragonal
**Symmetry**: P4/mmm (123)
**Energy above the lowest structure with this stoichiometry**: 0 meV per atom
**Total DFT energy (no corrections)**: -6.25 eV per atom

Unit cell a=3.661 b=3.661 c=3.612 alpha=90.00 beta=90.00 gamma=90.00
Fractional coordinates of all 5 atoms:
Co 0.000 0.000 0.500
Cu 0.500 0.500 0.500
Fe 0.500 0.000 0.000
Fe 0.000 0.500 0.000
H 0.000 0.000 0.000

***

No. 7
VASP calculation (PBE) on PmDyTh4 after structural relaxation.

**Density of states at the Fermi level**: 1.17 states/eV/atom
**Crystal system**: tetragonal
**Symmetry**: P4/mmm (123)
**Energy relative to the elements**: 25 kJ/mol of formula units
**Total DFT energy (no corrections)**: -6.46 eV per atom

Unit cell a=3.591 b=3.591 c=15.123 alpha=90.00 beta=90.00 gamma=90.00
Fractional coordinates of all 6 atoms:
Pm 0.000 0.000 0.000
Dy 0.500 0.500 0.500
Th 0.000 0.000 0.333
Th 0.500 0.500 0.828
Th 0.500 0.500 0.172
Th 0.000 0.000 0.667

***

No. 8
VASP calculation (PBE) on SiMoPt2 after structural relaxation.

**Density of states at the Fermi level**: 0.86 states/eV/atom
**Crystal system**: trigonal
**Raw formation energy**: -0.2439 eV/atom
**Symmetry**: R3m (160)
**Total DFT energy (no corrections)**: -7.33 eV per atom

Unit cell a=8.780 b=8.780 c=8.780 alpha=18.58 beta=18.58 gamma=18.58
Fractional coordinates of all 4 atoms:
Mo 0.755 0.755 0.755
Si 0.501 0.501 0.501
Pt 0.003 0.003 0.003
Pt 0.241 0.241 0.241